No. 1
An optimized crystal structure of CuRuN2, computed with PBE.

a = 3.727 Å, b = 3.727 Å, c = 3.727 Å
α = 60.00°, β = 60.00°, γ = 60.00°
Each line ends with the local moment (μB).
Fractional coordinates of all 4 atoms:
Cu 0.000 0.000 0.000  0.25
Ru 0.500 0.500 0.500  0.36
N 0.250 0.250 0.250  0.10
N 0.750 0.750 0.750  0.10

Summary:
The relative energy among the computed polymorphs comes out at 795 meV/atom. For the density of states at the Fermi level, the calculation gives 6.0 states/eV/f.u. The density comes out at 8.74 g/cm³.

=====

No. 2
An optimized crystal structure of SnBiF2, computed with PBE.

a = 7.244 Å, b = 7.244 Å, c = 6.022 Å
α = 53.02°, β = 53.02°, γ = 90.00°
Fractional coordinates of all 8 atoms:
F 0.375 0.442 0.750
F 0.192 0.625 0.250
F 0.875 0.808 0.750
F 0.558 0.125 0.250
Sn 0.500 0.500 0.000
Sn 0.250 0.750 0.500
Bi 0.000 0.000 0.000
Bi 0.750 0.250 0.500

Summary:
The relative energy among the computed polymorphs comes out at 160 meV/atom. For the density of states at the Fermi level, the calculation gives 1.8 states/eV/f.u. The density comes out at 7.31 g/cm³.

=====

No. 3
An optimized crystal structure of Pm5DyEr, computed with PBE.

a = 6.641 Å, b = 6.332 Å, c = 13.341 Å
α = 93.41°, β = 90.00°, γ = 121.63°
Fractional coordinates of all 14 atoms:
Er 0.000 0.000 0.000
Er 0.000 0.000 0.500
Pm 0.321 0.666 0.921
Pm 0.345 0.666 0.421
Pm 0.247 0.000 0.250
Pm 0.269 0.509 0.158
Pm 0.679 0.334 0.079
Pm 0.655 0.334 0.579
Pm 0.731 0.491 0.842
Pm 0.240 0.509 0.658
Pm 0.753 0.000 0.750
Pm 0.760 0.491 0.342
Dy 0.225 0.000 0.750
Dy 0.775 0.000 0.250

Summary:
For the density of states at the Fermi level, the calculation gives 10.0 states/eV/f.u. The density comes out at 7.35 g/cm³.

=====

No. 4
An optimized crystal structure of Al2Ag2W, computed with PBE.

a = 6.493 Å, b = 6.493 Å, c = 6.493 Å
α = 145.63°, β = 145.63°, γ = 49.40°
Each line ends with the local moment (μB).
Fractional coordinates of all 5 atoms:
Al 0.250 0.750 0.500  -0.01
Al 0.750 0.250 0.500  -0.01
Ag 0.392 0.392 0.000  0.00
Ag 0.608 0.608 0.000  0.00
W 0.000 0.000 0.000  0.83

Summary:
The relative energy among the computed polymorphs comes out at 318 meV/atom. For the density of states at the Fermi level, the calculation gives 2.7 states/eV/f.u. The density comes out at 8.67 g/cm³.

=====

No. 5
An optimized crystal structure of AlZn4, computed with PBE.

a = 5.048 Å, b = 5.048 Å, c = 5.048 Å
α = 109.47°, β = 109.47°, γ = 109.47°
Fractional coordinates of all 5 atoms:
Zn 0.000 0.000 0.500
Zn 0.000 0.500 0.000
Zn 0.500 0.000 0.000
Zn 0.500 0.500 0.500
Al 0.000 0.000 0.000

Summary:
The relative energy among the computed polymorphs comes out at 241 meV/atom. For the density of states at the Fermi level, the calculation gives 1.6 states/eV/f.u. The density comes out at 4.84 g/cm³.

=====

No. 6
An optimized crystal structure of Sr2ScTl, computed with PBE.

a = 6.161 Å, b = 6.161 Å, c = 6.161 Å
α = 129.79°, β = 129.79°, γ = 73.74°
Fractional coordinates of all 4 atoms:
Sr 0.000 0.000 0.000
Sr 0.250 0.750 0.500
Tl 0.500 0.500 0.000
Sc 0.750 0.250 0.500

Summary:
The relative energy among the computed polymorphs comes out at 132 meV/atom. For the density of states at the Fermi level, the calculation gives 3.7 states/eV/f.u. The density comes out at 5.23 g/cm³.

=====

no.,E (Ha/atom)
1,-0.2308
2,-0.1517
3,-0.1671
4,-0.1644
5,-0.0558
6,-0.1080